*a*
! TbDy3Sb3 (PBE-GGA, optimized geometry); values from VASP
! DOS at the Fermi energy   6.6 states/eV/f.u.
&SYSTEM
  ibrav = 0, nat = 28, ntyp = 3
/
ATOMIC_SPECIES
Tb 158.93 Tb.upf
Dy 162.50 Dy.upf
Sb 121.76 Sb.upf
CELL_PARAMETERS angstrom
9.201 0.000 0.000
0.000 9.201 0.000
0.000 0.000 9.201
ATOMIC_POSITIONS angstrom
Tb 0.661 5.261 8.540
Tb 8.540 0.661 5.261
Tb 3.940 3.940 3.940
Tb 5.261 8.540 0.661
Dy 7.560 2.959 1.641
Dy 8.533 8.533 8.533
Dy 7.564 6.237 2.964
Dy 1.641 7.560 2.959
Dy 1.637 1.637 1.637
Dy 2.964 7.564 6.237
Dy 0.668 3.933 5.268
Dy 2.959 1.641 7.560
Dy 6.237 2.964 7.564
Dy 6.242 6.242 6.242
Dy 5.268 0.668 3.933
Dy 3.933 5.268 0.668
Sb 6.894 5.747 0.003
Sb 8.055 9.198 2.293
Sb 0.003 6.894 5.747
Sb 1.146 4.597 2.308
Sb 2.308 1.146 4.597
Sb 2.293 8.055 9.198
Sb 9.198 2.293 8.055
Sb 3.455 4.604 6.908
Sb 4.597 2.308 1.146
Sb 5.747 0.003 6.894
Sb 6.908 3.455 4.604
Sb 4.604 6.908 3.455

---

*b*
! TbDy3Sb3 (PBE-GGA, optimized geometry); values from VASP
! DOS at the Fermi energy   4.7 states/eV/f.u.
&SYSTEM
  ibrav = 0, nat = 14, ntyp = 3
/
ATOMIC_SPECIES
Tb 158.93 Tb.upf
Dy 162.50 Dy.upf
Sb 121.76 Sb.upf
CELL_PARAMETERS angstrom
8.977 0.000 0.000
4.488 7.774 0.000
4.488 2.591 6.136
ATOMIC_POSITIONS angstrom
Tb 8.977 5.183 6.128
Tb 8.977 5.183 0.008
Dy 5.683 5.747 1.558
Dy 10.135 2.048 1.558
Dy 11.113 7.753 1.558
Dy 6.841 2.613 4.578
Dy 7.819 8.317 4.578
Dy 12.270 4.618 4.578
Sb 10.734 7.383 4.630
Sb 10.004 2.561 4.630
Sb 6.193 5.604 4.630
Sb 11.760 4.761 1.506
Sb 7.950 7.804 1.506
Sb 7.220 2.983 1.506

---

Verdict on stability: *a* comes out on top.